No. 1
CaTmHg3, optimized geometry, DFT PBE; symmetry = Cmcm (63); N(E_F) = 3.38 states/eV/f.u.; total DFT energy (no corrections) = -0.07023 Ha/atom
1.0
-1.0046 3.4542 0.6358
-2.7337 -1.4876 3.7625
11.8837 -0.0604 8.6103
Tm Hg Ca
2 6 2
Direct
0.7890 0.2500 0.5779
0.2110 0.7500 0.4221
0.3759 0.2500 0.7517
0.3152 0.7500 0.6305
0.5258 0.7500 0.0516
0.6848 0.2500 0.3695
0.6241 0.7500 0.2483
0.4742 0.2500 0.9484
0.0772 0.2500 0.1545
0.9228 0.7500 0.8455


No. 2
YInCu, optimized geometry, DFT PBE; symmetry = P-62m (189); N(E_F) = 1.52 states/eV/f.u.; total DFT energy (no corrections) = -0.17882 Ha/atom
1.0
3.9566 0.0000 0.0000
0.0000 7.4948 -0.0001
0.0000 -3.7475 6.4906
In Y Cu
3 3 3
Direct
0.0000 0.2545 0.0000
0.0000 0.7455 0.7455
0.0000 0.0000 0.2545
0.5000 0.4099 0.4099
0.5000 0.0000 0.5901
0.5000 0.5901 0.0000
0.5000 0.0000 0.0000
0.0000 0.6667 0.3333
0.0000 0.3333 0.6667


No. 3
Er5Tl6Cd, optimized geometry, DFT PBE; symmetry = C2/m (12); N(E_F) = 8.30 states/eV/f.u.; total DFT energy (no corrections) = -0.12581 Ha/atom
1.0
-4.0090 2.6789 -0.8457
-3.0263 -6.1838 -5.2405
0.0843 -1.5237 8.8913
Tl Er Cd
6 5 1
Direct
0.5000 0.7364 0.0000
0.8293 0.0850 0.6585
0.8293 0.5737 0.6586
0.5000 0.2636 0.0000
0.1707 0.9150 0.3415
0.1707 0.4263 0.3414
0.6439 0.1438 0.2877
0.0000 0.5000 0.0000
0.3561 0.8562 0.7123
0.3244 0.3247 0.6494
0.6756 0.6753 0.3506
0.0000 0.0000 0.0000